First-principles (GGA+U) data for crystalline InNiO2F at its relaxed geometry, as listed in Alexandria via LeMat-Bulk.

Calculated values
The total magnetization comes out at 1.96 μB per formula unit. For the calculated volume, the calculation gives 13.696 Å³/atom. The calculation puts the total energy at -20.409 eV per cell.

Cell lengths 4.0969, 4.0969, 4.0800 Å; angles 90.00, 90.00, 90.00 degrees
Space group P4/mmm (No. 123)
Inequivalent atoms, fractional coordinates:
In (0.0000, 0.0000, 0.0000)
Ni (0.5000, 0.5000, 0.5000)
O (0.0000, 0.5000, 0.0000)
F (0.0000, 0.0000, 0.5000)